Here is a relaxed Er8As3PS4 crystal from Alexandria. Energies are from PBE.

```
Er8As3PS4
1.0
-4.506 -5.770 3.103
6.259 -2.748 3.980
-2.196 7.604 0.761
S Er As P
4 8 3 1
Direct
0.000 0.000 0.500
0.500 0.000 0.500
0.000 0.000 0.000
0.500 0.000 0.000
0.754 0.252 0.998
0.249 0.247 0.498
0.245 0.252 0.998
0.246 0.748 0.493
0.246 0.748 0.002
0.755 0.748 0.002
0.751 0.753 0.502
0.754 0.252 0.507
0.500 0.500 0.500
0.000 0.500 0.500
0.500 0.500 0.000
0.000 0.500 0.000
```

The spin magnetization comes out at 0.000 μB per formula unit. The uncorrected formation energy is -1785 meV/atom.

---

Here is a relaxed KCa2 crystal from Alexandria. Energies are from PBE.

```
KCa2
1.0
20.362 -1.618 1.893
20.191 3.604 0.380
-20.459 -0.243 1.471
K Ca
2 4
Direct
0.000 0.000 0.000
0.750 0.250 0.500
0.335 0.835 0.500
0.165 0.665 0.500
0.415 0.415 0.000
0.585 0.585 0.000
```

The spin magnetization comes out at 0.000 μB per formula unit. The energy of formation from the pure elements is 0.2289 eV per atom.

---

Here is a relaxed LaCo5B2 crystal from Alexandria. Energies are from PBE.

```
LaCo5B2
1.0
3.422 0.000 0.000
1.711 5.378 0.076
1.711 1.690 5.106
Co La B
5 1 2
Direct
0.339 0.849 0.473
0.661 0.151 0.527
0.661 0.527 0.151
0.000 0.500 0.500
0.339 0.473 0.849
0.000 0.000 0.000
0.228 0.272 0.272
0.772 0.728 0.728
```

The spin magnetization comes out at 3.071 μB per formula unit. The energy of formation from the pure elements is -0.1848 eV per atom.

---

Here is a relaxed Mg5ZnIn5 crystal from Alexandria. Energies are from PBE.

```
Mg5ZnIn5
1.0
-0.798 -3.244 -3.931
3.831 -3.159 5.215
-9.431 -0.339 2.193
In Mg Zn
5 5 1
Direct
0.881 0.762 0.185
0.123 0.246 0.308
0.877 0.754 0.692
0.119 0.238 0.815
0.500 0.000 0.000
0.259 0.519 0.129
0.259 0.519 0.633
0.741 0.481 0.871
0.741 0.481 0.367
0.000 0.000 0.500
0.000 0.000 0.000
```

The spin magnetization comes out at 0.000 μB per formula unit. The energy of formation from the pure elements is 0.1190 eV per atom.

---

Here is a relaxed CaAgGeCl5 crystal from Alexandria. Energies are from PBE.

```
CaAgGeCl5
1.0
7.780 -0.586 -0.083
-2.831 7.270 -0.083
-2.144 -2.896 9.064
Cl Ge Ca Ag
10 2 2 2
Direct
0.974 0.651 0.836
0.287 0.419 0.567
0.419 0.287 0.067
0.581 0.713 0.933
0.914 0.086 0.750
0.651 0.974 0.336
0.086 0.914 0.250
0.713 0.581 0.433
0.026 0.349 0.164
0.349 0.026 0.664
0.571 0.429 0.750
0.429 0.571 0.250
0.000 0.000 0.500
0.000 0.000 0.000
0.723 0.277 0.250
0.277 0.723 0.750
```

The spin magnetization comes out at 0.000 μB per formula unit. The uncorrected formation energy is -1219 meV/atom.

---

Here is a relaxed SiRuPt crystal from Alexandria. Energies are from PBE.

```
SiRuPt
1.0
-1.420 -4.706 2.179
1.330 -5.043 1.307
0.890 0.115 2.762
Si Ru Pt
1 1 1
Direct
0.675 0.675 0.325
0.307 0.307 0.693
0.017 0.017 0.983
```

The spin magnetization comes out at 0.000 μB per formula unit. The uncorrected formation energy is -372 meV/atom. Its relative energy among the computed polymorphs is 160 meV per atom.

---

Here is a relaxed Tb4HgPdAu2 crystal from Alexandria. Energies are from PBE.

```
Tb4HgPdAu2
1.0
-4.368 -1.984 -1.800
-1.889 -4.306 2.037
-6.417 2.420 5.612
Au Pd Tb Hg
2 1 4 1
Direct
0.254 0.254 0.238
0.746 0.746 0.762
0.500 0.500 0.500
0.871 0.871 0.387
0.129 0.129 0.613
0.380 0.380 0.861
0.620 0.620 0.139
0.000 0.000 0.000
```

The spin magnetization comes out at 0.000 μB per formula unit. The energy of formation from the pure elements is -0.7615 eV per atom.

---

Here is a relaxed Cs2NaPu2O7 crystal from Alexandria. Energies are from PBE.

```
Cs2NaPu2O7
1.0
-3.881 -1.107 1.489
-0.592 -2.531 -3.427
2.651 -10.982 4.956
Cs O Na Pu
2 7 1 2
Direct
0.812 0.812 0.377
0.188 0.188 0.623
0.584 0.084 0.832
0.084 0.584 0.832
0.416 0.916 0.168
0.331 0.331 0.339
0.916 0.416 0.168
0.669 0.669 0.661
0.500 0.500 0.000
0.000 0.000 0.000
0.587 0.587 0.826
0.413 0.413 0.174
```

The spin magnetization comes out at 5.000 μB per formula unit. The uncorrected formation energy is -2353 meV/atom.

---

Here is a relaxed FeAg2Os crystal from Alexandria. Energies are from PBE.

```
FeAg2Os
1.0
-5.759 7.550 -1.917
-7.602 5.968 -0.666
-5.968 7.588 0.806
Os Ag Fe
1 2 1
Direct
0.750 0.750 0.750
0.998 0.998 0.998
0.502 0.502 0.502
0.250 0.250 0.250
```

The spin magnetization comes out at 2.799 μB per formula unit. Its relative energy among the computed polymorphs is 225 meV per atom. The energy of formation from the pure elements is 0.5393 eV per atom.

---

Here is a relaxed Tc3Ru crystal from Alexandria. Energies are from PBE.

```
Tc3Ru
1.0
-2.360 1.226 0.148
0.439 -1.666 4.816
1.039 3.497 3.586
Tc Ru
3 1
Direct
0.000 0.500 0.500
0.500 0.500 0.000
0.500 0.000 0.500
0.000 0.000 0.000
```

The spin magnetization comes out at 0.000 μB per formula unit. Its relative energy among the computed polymorphs is 390 meV per atom. The energy of formation from the pure elements is 0.3451 eV per atom.

---

Here is a relaxed CaLa2Br crystal from Alexandria. Energies are from PBE.

```
CaLa2Br
1.0
-1.014 -3.507 0.338
2.017 -0.866 -2.937
8.068 -1.750 6.058
La Ca Br
2 1 1
Direct
0.000 0.000 0.452
0.000 0.000 0.048
0.500 0.500 0.750
0.500 0.500 0.250
```

The spin magnetization comes out at 0.003 μB per formula unit. The uncorrected formation energy is -449 meV/atom.

---

Here is a relaxed Dy4AlSe3 crystal from Alexandria. Energies are from PBE.

```
Dy4AlSe3
1.0
4.019 0.000 0.000
0.000 6.856 -2.290
0.000 -0.011 7.228
Dy Se Al
4 3 1
Direct
0.500 0.246 0.754
0.500 0.754 0.246
0.000 0.750 0.750
0.000 0.250 0.250
0.500 0.500 0.500
0.000 0.500 0.000
0.000 0.000 0.500
0.500 0.000 0.000
```

The spin magnetization comes out at 0.000 μB per formula unit. The uncorrected formation energy is -1389 meV/atom.

---

- Which formula does entry 2 have?
  KCa2

---

- Which of these has the highest spin magnetization?
  Cs2NaPu2O7

---

- Look up the spin magnetization of the fourth one.
  0.000 μB per formula unit

---

- Which value of spin magnetization does entry 10 give?
  0.000 μB per formula unit